{
  "formula": "La2DyRh",
  "functional": "GGA-PBE",
  "state": "relaxed",
  "cell": [[7.3347, 0.0000, 0.0000], [0.0000, 10.1718, 0.0000], [0.0000, 0.0000, 6.3926]],
  "species": ["La", "La", "La", "La", "La", "La", "La", "La", "Dy", "Dy", "Dy", "Dy", "Rh", "Rh", "Rh", "Rh"],
  "fractional_positions": [[0.1726, 0.0667, 0.1709], [0.1726, 0.4333, 0.1709], [0.3274, 0.5667, 0.6709], [0.3274, 0.9333, 0.6709], [0.6726, 0.0667, 0.3291], [0.6726, 0.4333, 0.3291], [0.8274, 0.5667, 0.8291], [0.8274, 0.9333, 0.8291], [0.0373, 0.2500, 0.6578], [0.4627, 0.7500, 0.1578], [0.5373, 0.2500, 0.8422], [0.9627, 0.7500, 0.3422], [0.1263, 0.7500, 0.9354], [0.3737, 0.2500, 0.4354], [0.6263, 0.7500, 0.5646], [0.8737, 0.2500, 0.0646]],
  "formation_enthalpy_0k_ev_per_atom": -0.460,
  "volume_a3_per_cell": 476.9,
  "e_above_lowest_polymorph_mev_per_atom": 0
}